Record 1
The following is a PBE calculation of a geometry-optimized MnReB2H structure, from the Alexandria database.

```
MnReB2H
1.0
4.018 0.000 0.000
0.000 4.018 0.000
0.000 0.000 3.239
Mn Re B H
1 1 2 1
direct
0.000 0.000 0.000 Mn
0.500 0.500 0.500 Re
0.000 0.500 0.500 B
0.500 0.000 0.500 B
0.500 0.500 0.000 H
```

- DFT total energy: -6.6207 eV per atom
- Volume: 10.45 Å³ per atom
- M_tot: 0.13 μB/f.u.

Record 2
The following is a PBE calculation of a geometry-optimized MnB2HS structure, from the Alexandria database.

```
MnB2HS
1.0
3.070 0.000 0.000
0.000 3.070 0.000
0.000 0.000 4.786
Mn B H S
1 2 1 1
direct
0.000 0.000 0.000 Mn
0.000 0.500 0.500 B
0.500 0.000 0.500 B
0.500 0.500 0.500 H
0.500 0.500 0.000 S
```

- DFT total energy: -4.8671 eV per atom
- Volume: 9.02 Å³ per atom
- M_tot: 0.00 μB/f.u.

Record 3
The following is a PBE calculation of a geometry-optimized BMo3H structure, from the Alexandria database.

```
BMo3H
1.0
3.865 0.000 0.000
0.000 3.865 0.000
0.000 0.000 3.865
B Mo H
1 3 1
direct
0.000 0.000 0.000 B
0.000 0.500 0.500 Mo
0.500 0.000 0.500 Mo
0.500 0.500 0.000 Mo
0.500 0.500 0.500 H
```

- DFT total energy: -8.0691 eV per atom
- Volume: 11.54 Å³ per atom
- M_tot: 0.00 μB/f.u.

Record 4
The following is a PBE calculation of a geometry-optimized B2MoH structure, from the Alexandria database.

```
B2MoH
1.0
-2.719 2.719 2.147
2.719 -2.719 2.147
2.719 2.719 -2.147
B Mo H
4 2 2
direct
0.044 0.125 0.419 B
0.375 0.956 0.081 B
0.706 0.625 0.581 B
0.875 0.294 0.919 B
0.250 0.750 0.500 Mo
0.500 0.500 0.000 Mo
0.000 0.000 0.000 H
0.750 0.250 0.500 H
```

- DFT total energy: -6.3744 eV per atom
- Volume: 7.94 Å³ per atom
- M_tot: 0.00 μB/f.u.

Record 5
The following is a PBE calculation of a geometry-optimized NaBMo2H structure, from the Alexandria database.

```
NaBMo2H
1.0
4.770 0.000 0.000
0.000 4.770 0.000
0.000 0.000 2.869
Na B Mo H
1 1 2 1
direct
0.000 0.000 0.000 Na
0.500 0.500 0.500 B
0.000 0.500 0.000 Mo
0.500 0.000 0.000 Mo
0.000 0.000 0.500 H
```

- DFT total energy: -4.2131 eV per atom
- Volume: 13.05 Å³ per atom
- M_tot: 0.18 μB/f.u.

Record 6
The following is a PBE calculation of a geometry-optimized B2MoHPt structure, from the Alexandria database.

```
B2MoHPt
1.0
4.105 0.000 0.000
0.000 4.105 0.000
0.000 0.000 3.359
B Mo H Pt
2 1 1 1
direct
0.000 0.500 0.000 B
0.500 0.000 0.000 B
0.000 0.000 0.000 Mo
0.000 0.000 0.500 H
0.500 0.500 0.500 Pt
```

- DFT total energy: -5.7026 eV per atom
- Volume: 11.32 Å³ per atom
- M_tot: 0.00 μB/f.u.

Record 7
The following is a PBE calculation of a geometry-optimized RbB2MoH structure, from the Alexandria database.

```
RbB2MoH
1.0
4.267 0.000 0.000
0.000 4.267 0.000
0.000 0.000 4.394
Rb B Mo H
1 2 1 1
direct
0.000 0.000 0.000 Rb
0.000 0.500 0.500 B
0.500 0.000 0.500 B
0.500 0.500 0.500 Mo
0.500 0.500 0.000 H
```

- DFT total energy: -4.7785 eV per atom
- Volume: 16.00 Å³ per atom
- M_tot: 0.00 μB/f.u.

Record 8
The following is a PBE calculation of a geometry-optimized ReBMoH2 structure, from the Alexandria database.

```
ReBMoH2
1.0
3.269 0.000 0.000
0.000 3.269 0.000
0.000 0.000 5.104
Re B Mo H
1 1 1 2
direct
0.000 0.000 0.000 Re
0.500 0.500 0.000 B
0.000 0.000 0.500 Mo
0.000 0.500 0.500 H
0.500 0.000 0.500 H
```

- DFT total energy: -6.4564 eV per atom
- Volume: 10.91 Å³ per atom
- M_tot: 0.42 μB/f.u.

Record 9
The following is a PBE calculation of a geometry-optimized ReBMo2H structure, from the Alexandria database.

```
ReBMo2H
1.0
4.178 0.000 0.000
0.000 4.178 0.000
0.000 0.000 4.008
Re B Mo H
1 1 2 1
direct
0.000 0.000 0.000 Re
0.000 0.000 0.500 B
0.000 0.500 0.500 Mo
0.500 0.000 0.500 Mo
0.500 0.500 0.000 H
```

- DFT total energy: -7.7334 eV per atom
- Volume: 14.00 Å³ per atom
- M_tot: 0.00 μB/f.u.

Record 10
The following is a PBE calculation of a geometry-optimized BMo2HRh structure, from the Alexandria database.

```
BMo2HRh
1.0
4.178 0.000 0.000
0.000 4.178 0.000
0.000 0.000 3.960
B Mo H Rh
1 2 1 1
direct
0.000 0.000 0.000 B
0.000 0.500 0.000 Mo
0.500 0.000 0.000 Mo
0.500 0.500 0.500 H
0.000 0.000 0.500 Rh
```

- DFT total energy: -6.9068 eV per atom
- Volume: 13.83 Å³ per atom
- M_tot: 0.00 μB/f.u.

Record 11
The following is a PBE calculation of a geometry-optimized TaB2MoH structure, from the Alexandria database.

```
TaB2MoH
1.0
4.218 0.000 0.000
0.000 4.218 0.000
0.000 0.000 4.991
Ta B Mo H
1 2 1 1
direct
0.000 0.000 0.000 Ta
0.000 0.500 0.000 B
0.500 0.000 0.000 B
0.000 0.000 0.500 Mo
0.500 0.500 0.500 H
```

- DFT total energy: -5.6948 eV per atom
- Volume: 17.76 Å³ per atom
- M_tot: 1.05 μB/f.u.